Computed, not measured: a relaxed Sm2TlBi crystal at the PBE level of DFT.

Values from the calculation:
theoretical density	10.0	g/cm³
polymorph energy (0 for the lowest one)	0.0738	eV/atom
uncorrected energy	-4.470	eV per atom
total magnetic moment	0.001	μB/cell

Cell lengths 4.106, 4.106, 7.042 Å; angles 90.00, 90.00, 90.00 degrees
Space group P4/mmm (No. 123)
Inequivalent atoms, fractional coordinates:
Sm 0.000 0.000 0.245
Tl 0.500 0.500 0.500
Bi 0.500 0.500 0.000

***

Computed, not measured: a relaxed Li2ZrPb crystal at the PBE level of DFT.

Values from the calculation:
theoretical density	6.0	g/cm³
uncorrected energy	-4.023	eV per atom
total magnetic moment	0.000	μB/cell

Cell lengths 3.096, 4.215, 6.610 Å; angles 90.00, 90.00, 90.00 degrees
Space group Pmm2 (No. 25)
Inequivalent atoms, fractional coordinates:
Li 0.000 0.000 0.000
Li 0.500 0.500 0.217
Zr 0.500 0.500 0.720
Pb 0.000 0.000 0.458

***

Computed, not measured: a relaxed Dy4Tm7Sc crystal at the PBE level of DFT.

Values from the calculation:
theoretical density	8.5	g/cm³
polymorph energy (0 for the lowest one)	0.0000	eV/atom
uncorrected energy	-4.566	eV per atom
total magnetic moment	0.000	μB/cell

Cell lengths 6.376, 6.660, 8.945 Å; angles 85.30, 76.45, 81.39 degrees
Space group P-1 (No. 2)
Inequivalent atoms, fractional coordinates:
Dy 0.150 0.315 0.281
Dy 0.333 0.880 0.694
Tm 0.004 0.255 0.951
Tm 0.178 0.805 0.362
Tm 0.312 0.390 0.615
Tm 0.500 0.000 0.000
Sc 0.500 0.500 0.000

***

Computed, not measured: a relaxed Si2Ag5Au12 crystal at the PBE level of DFT.

Values from the calculation:
theoretical density	14.3	g/cm³
uncorrected energy	-3.394	eV per atom
energy relative to the elements, uncorrected	-0.003	eV per atom
total magnetic moment	0.000	μB/cell

Cell lengths 12.935, 9.123, 5.824 Å; angles 90.00, 93.93, 90.00 degrees
Space group C2/m (No. 12)
Inequivalent atoms, fractional coordinates:
Si 0.000 0.246 0.000
Ag 0.000 0.500 0.500
Ag 0.187 0.000 0.914
Ag 0.234 0.500 0.539
Au 0.039 0.000 0.260
Au 0.101 0.235 0.638
Au 0.103 0.500 0.942
Au 0.182 0.255 0.206

***

Computed, not measured: a relaxed SrSbS3 crystal at the PBE level of DFT.

Values from the calculation:
theoretical density	3.9	g/cm³
polymorph energy (0 for the lowest one)	0.2291	eV/atom
uncorrected energy	-4.363	eV per atom
energy relative to the elements, uncorrected	-0.725	eV per atom
total magnetic moment	0.000	μB/cell

Cell lengths 5.052, 5.052, 5.052 Å; angles 90.00, 90.00, 90.00 degrees
Space group Pm-3m (No. 221)
Inequivalent atoms, fractional coordinates:
Sr 0.000 0.000 0.000
Sb 0.500 0.500 0.500
S 0.000 0.500 0.500

***

Computed, not measured: a relaxed Ir3Ru crystal at the PBE level of DFT.

Values from the calculation:
theoretical density	18.9	g/cm³
uncorrected energy	-8.603	eV per atom
total magnetic moment	1.002	μB/cell

Cell lengths 3.327, 3.327, 5.376 Å; angles 90.00, 90.00, 90.00 degrees
Space group P4/mmm (No. 123)
Inequivalent atoms, fractional coordinates:
Ir 0.000 0.000 0.000
Ir 0.500 0.500 0.250
Ru 0.000 0.000 0.500

***

Computed, not measured: a relaxed HfMg2ZrOs crystal at the PBE level of DFT.

Values from the calculation:
theoretical density	6.4	g/cm³
uncorrected energy	-4.583	eV per atom
total magnetic moment	2.776	μB/cell

Cell lengths 5.173, 5.173, 4.918 Å; angles 90.00, 90.00, 90.00 degrees
Space group P4/mmm (No. 123)
Inequivalent atoms, fractional coordinates:
Hf 0.000 0.000 0.000
Mg 0.000 0.500 0.000
Zr 0.000 0.000 0.500
Os 0.500 0.500 0.500

***

Computed, not measured: a relaxed La3NiSn crystal at the PBE level of DFT.

Values from the calculation:
theoretical density	6.3	g/cm³
polymorph energy (0 for the lowest one)	0.0535	eV/atom
uncorrected energy	-5.307	eV per atom
total magnetic moment	0.000	μB/cell

Cell lengths 10.001, 14.077, 4.444 Å; angles 90.00, 90.00, 90.00 degrees
Space group Cmmm (No. 65)
Inequivalent atoms, fractional coordinates:
La 0.000 0.180 0.000
La 0.202 0.384 0.500
Ni 0.250 0.250 0.000
Sn 0.000 0.000 0.500
Sn 0.000 0.500 0.000

***

Q: Which formula does entry 8 have?
A: La3NiSn

***

What did the fifth record say?
Computed, not measured: a relaxed SrSbS3 crystal at the PBE level of DFT.

Values from the calculation:
theoretical density	3.9	g/cm³
polymorph energy (0 for the lowest one)	0.2291	eV/atom
uncorrected energy	-4.363	eV per atom
energy relative to the elements, uncorrected	-0.725	eV per atom
total magnetic moment	0.000	μB/cell

Cell lengths 5.052, 5.052, 5.052 Å; angles 90.00, 90.00, 90.00 degrees
Space group Pm-3m (No. 221)
Inequivalent atoms, fractional coordinates:
Sr 0.000 0.000 0.000
Sb 0.500 0.500 0.500
S 0.000 0.500 0.500